Entry a
# PrSm4Tl2 (GGA-PBE, optimized geometry)
data_PrSm4Tl2
_chemical_formula_sum 'Pr4 Sm16 Tl8'
_cell_length_a 15.6837
_cell_length_b 4.8209
_cell_length_c 12.1968
_cell_angle_alpha 90.00
_cell_angle_beta 103.65
_cell_angle_gamma 90.00
_symmetry_space_group_name_H-M 'C 1 2/m 1'
_symmetry_Int_Tables_number 12
_symmetry_space_group_name_Hall '-C 2y'
loop_
_atom_site_label
_atom_site_type_symbol
_atom_site_fract_x
_atom_site_fract_y
_atom_site_fract_z
_atom_site_occupancy
Pr1 Pr 0.0898 0.0000 0.0922 1
Sm1 Sm 0.0317 0.0000 0.6731 1
Sm2 Sm 0.1307 0.5000 0.3175 1
Sm3 Sm 0.2056 0.5000 0.6901 1
Sm4 Sm 0.2297 0.0000 0.8978 1
Tl1 Tl 0.0691 0.5000 0.8731 1
Tl2 Tl 0.1687 0.0000 0.5038 1
# * ρ: 8.53 Mg/m³
# * volume: 896.1 Å³/cell

---

Entry b
# PrSm4Tl2 (GGA-PBE, optimized geometry)
data_PrSm4Tl2
_chemical_formula_sum 'Pr3 Sm12 Tl6'
_cell_length_a 5.2160
_cell_length_b 5.2160
_cell_length_c 31.8517
_cell_angle_alpha 90.00
_cell_angle_beta 90.00
_cell_angle_gamma 120.00
_symmetry_space_group_name_H-M 'R -3 m'
_symmetry_Int_Tables_number 166
_symmetry_space_group_name_Hall '-R 3 2"'
loop_
_atom_site_label
_atom_site_type_symbol
_atom_site_fract_x
_atom_site_fract_y
_atom_site_fract_z
_atom_site_occupancy
Pr1 Pr 0.0000 0.0000 0.0000 1
Sm1 Sm 0.0000 0.0000 0.2043 1
Sm2 Sm 0.0000 0.0000 0.3905 1
Tl1 Tl 0.0000 0.0000 0.1009 1
# * ρ: 7.64 Mg/m³
# * volume: 750.5 Å³/cell

---

Relative energy of each structure, in meV/atom: entry a 0; entry b 197.